KPb2: relaxed, PBE.

Output
- total magnetization (μB/atom) = 0.00
- formation energy from the elements (eV/atom) = -0.17

Cell: 6.8060 6.8060 10.7514 Å, 90.00 90.00 120.00°
Space group P6_3/mmc (No. 194)
Unique sites:
1 K 0.3333 0.6667 0.0654 x4
2 Pb 0.0000 0.0000 0.0000 x2
3 Pb 0.1680 0.3360 0.7500 x6